VASP calculation (PBE) on crystalline Cs2RbBeI6 at its relaxed geometry.

## Properties
Total moment: 0.00 Bohr magnetons per cell
Raw total energy: -2.4665 eV per atom
Energy relative to the elements, uncorrected: -0.896 eV per atom
Space-group type: No. 225

Cell: 8.761 8.761 8.761 Å, 60.00 60.00 60.00°
Element x y z (fractional)
Cs: 0.250 0.250 0.250
Cs: 0.750 0.750 0.750
Rb: 0.000 0.000 0.000
Be: 0.500 0.500 0.500
I: 0.283 0.283 0.717
I: 0.283 0.717 0.283
I: 0.283 0.717 0.717
I: 0.717 0.283 0.283
I: 0.717 0.283 0.717
I: 0.717 0.717 0.283